[1]
{
  "formula": "Tb3SiIr3",
  "functional": "GGA-PBE",
  "state": "optimized geometry",
  "crystal_system": "monoclinic",
  "space_group": "No. 12",
  "energy_ev_per_fu": -52.08,
  "formation_energy_uncorrected_ev_per_atom": -0.883,
  "n_ef_per_ev_cell": 5.50,
  "lattice": [[-0.337, 0.856, 3.893], [1.178, -4.440, 3.133], [13.346, 3.728, 2.389]],
  "species": ["Ir", "Ir", "Si", "Ir", "Tb", "Ir", "Ir", "Tb", "Si", "Ir", "Tb", "Tb", "Tb", "Tb"],
  "fractional_positions": [[0.116, 0.845, 0.923], [0.884, 0.155, 0.077], [0.227, 0.935, 0.612], [0.039, 0.161, 0.762], [0.487, 0.646, 0.380], [0.961, 0.839, 0.238], [0.165, 0.209, 0.462], [0.258, 0.261, 0.222], [0.773, 0.065, 0.388], [0.835, 0.791, 0.538], [0.610, 0.706, 0.074], [0.390, 0.294, 0.926], [0.513, 0.354, 0.620], [0.742, 0.739, 0.778]]
}

---

[2]
{
  "formula": "P2IrSO",
  "functional": "GGA-PBE",
  "state": "optimized geometry",
  "crystal_system": "tetragonal",
  "space_group": "No. 123",
  "energy_ev_per_fu": -26.12,
  "de_polymorph_mev_per_atom": 139.5,
  "formation_energy_uncorrected_ev_per_atom": 0.529,
  "n_ef_per_ev_cell": 3.93,
  "lattice": [[4.530, 0.000, 0.000], [0.000, 4.530, 0.000], [0.000, 0.000, 3.226]],
  "species": ["S", "O", "P", "P", "Ir"],
  "fractional_positions": [[0.000, 0.000, 0.000], [0.000, 0.000, 0.500], [0.000, 0.500, 0.000], [0.500, 0.000, 0.000], [0.500, 0.500, 0.500]]
}

---

[3]
{
  "formula": "BaZr2BiRh",
  "functional": "GGA-PBE",
  "state": "optimized geometry",
  "crystal_system": "tetragonal",
  "space_group": "No. 123",
  "energy_ev_per_fu": -29.53,
  "n_ef_per_ev_cell": 7.77,
  "ef_mev_per_atom": 144.8,
  "lattice": [[5.073, 0.000, 0.000], [0.000, 6.044, 0.000], [0.000, 0.000, 5.073]],
  "species": ["Ba", "Bi", "Rh", "Zr", "Zr"],
  "fractional_positions": [[0.500, 0.500, 0.500], [0.000, 0.500, 0.000], [0.000, 0.000, 0.000], [0.500, 0.000, 0.000], [0.000, 0.000, 0.500]]
}

---

[4]
{
  "formula": "Na2NdAl9",
  "functional": "GGA-PBE",
  "state": "optimized geometry",
  "crystal_system": "trigonal",
  "space_group": "No. 166",
  "energy_ev_per_fu": -42.23,
  "n_ef_per_ev_cell": 5.62,
  "ef_mev_per_atom": -94.9,
  "lattice": [[5.373, 0.000, 1.599], [2.449, 4.783, 1.599], [0.093, 0.057, 9.515]],
  "species": ["Al", "Al", "Al", "Al", "Al", "Al", "Nd", "Al", "Al", "Na", "Na", "Al"],
  "fractional_positions": [[0.500, 0.500, 0.500], [0.335, 0.335, 0.996], [0.415, 0.415, 0.247], [0.077, 0.585, 0.753], [0.665, 0.665, 0.004], [0.585, 0.077, 0.753], [0.000, 0.000, 0.000], [0.923, 0.415, 0.247], [0.585, 0.585, 0.753], [0.144, 0.144, 0.569], [0.856, 0.856, 0.431], [0.415, 0.923, 0.247]]
}

---

[5]
{
  "formula": "KTc",
  "functional": "GGA-PBE",
  "state": "optimized geometry",
  "crystal_system": "tetragonal",
  "space_group": "No. 123",
  "energy_ev_per_fu": -8.72,
  "de_polymorph_mev_per_atom": 616.2,
  "n_ef_per_ev_cell": 1.87,
  "ef_mev_per_atom": 1372.5,
  "lattice": [[2.661, 0.000, 0.000], [0.000, 2.661, 0.000], [0.000, 0.000, 5.869]],
  "species": ["K", "Tc"],
  "fractional_positions": [[0.000, 0.000, 0.000], [0.500, 0.500, 0.500]]
}

---

[6]
{
  "formula": "NaScZnCl6",
  "functional": "GGA-PBE",
  "state": "optimized geometry",
  "crystal_system": "trigonal",
  "space_group": "No. 163",
  "energy_ev_per_fu": -35.28,
  "formation_energy_uncorrected_ev_per_atom": -1.697,
  "n_ef_per_ev_cell": 0.00,
  "lattice": [[-4.424, -4.066, 2.297], [4.698, -2.179, -3.817], [7.209, -2.141, 10.095]],
  "species": ["Cl", "Cl", "Cl", "Sc", "Cl", "Cl", "Na", "Cl", "Na", "Cl", "Cl", "Cl", "Zn", "Zn", "Cl", "Cl", "Cl", "Sc"],
  "fractional_positions": [[0.998, 0.362, 0.137], [0.998, 0.637, 0.363], [0.637, 0.638, 0.637], [0.667, 0.333, 0.750], [0.638, 0.002, 0.363], [0.363, 0.362, 0.363], [0.000, 0.000, 0.000], [0.637, 0.998, 0.863], [0.000, 0.000, 0.500], [0.002, 0.363, 0.637], [0.362, 0.363, 0.863], [0.363, 0.002, 0.137], [0.333, 0.667, 0.750], [0.667, 0.333, 0.250], [0.002, 0.638, 0.863], [0.362, 0.998, 0.637], [0.638, 0.637, 0.137], [0.333, 0.667, 0.250]]
}

---

[7]
{
  "formula": "BaY2Re2",
  "functional": "GGA-PBE",
  "state": "optimized geometry",
  "crystal_system": "tetragonal",
  "space_group": "No. 139",
  "energy_ev_per_fu": -36.68,
  "de_polymorph_mev_per_atom": 72.7,
  "n_ef_per_ev_cell": 6.18,
  "ef_mev_per_atom": 613.9,
  "lattice": [[4.902, 0.000, 0.000], [0.000, 4.902, 0.000], [2.451, 2.451, 5.848]],
  "species": ["Re", "Y", "Y", "Ba", "Re"],
  "fractional_positions": [[0.601, 0.601, 0.799], [0.750, 0.250, 0.500], [0.250, 0.750, 0.500], [0.000, 0.000, 0.000], [0.399, 0.399, 0.201]]
}

---

[8]
{
  "formula": "TbThCoCu",
  "functional": "GGA-PBE",
  "state": "optimized geometry",
  "crystal_system": "orthorhombic",
  "space_group": "No. 38",
  "energy_ev_per_fu": -24.36,
  "de_polymorph_mev_per_atom": 0.0,
  "n_ef_per_ev_cell": 2.67,
  "ef_mev_per_atom": -277.6,
  "lattice": [[-1.426, -0.029, 3.532], [0.278, -3.858, 0.080], [6.103, 0.448, 0.413]],
  "species": ["Th", "Tb", "Co", "Cu"],
  "fractional_positions": [[0.874, 0.500, 0.748], [0.150, 0.000, 0.300], [0.406, 0.000, 0.812], [0.570, 0.500, 0.140]]
}

---

[9]
{
  "formula": "Li2SmSi2",
  "functional": "GGA-PBE",
  "state": "optimized geometry",
  "crystal_system": "tetragonal",
  "space_group": "No. 139",
  "energy_ev_per_fu": -17.14,
  "de_polymorph_mev_per_atom": 931.5,
  "formation_energy_uncorrected_ev_per_atom": 0.450,
  "n_ef_per_ev_cell": 4.07,
  "lattice": [[-2.952, -0.310, 1.345], [-1.057, -1.536, -2.673], [4.726, -7.839, 4.622]],
  "species": ["Si", "Si", "Li", "Sm", "Li"],
  "fractional_positions": [[0.855, 0.855, 0.710], [0.145, 0.145, 0.290], [0.750, 0.250, 0.500], [0.000, 0.000, 0.000], [0.250, 0.750, 0.500]]
}

---

[10]
{
  "formula": "Ir2RuAu",
  "functional": "GGA-PBE",
  "state": "optimized geometry",
  "crystal_system": "tetragonal",
  "space_group": "No. 123",
  "energy_ev_per_fu": -28.60,
  "de_polymorph_mev_per_atom": 260.3,
  "n_ef_per_ev_cell": 7.29,
  "ef_mev_per_atom": 418.1,
  "lattice": [[3.928, 0.000, 0.000], [0.000, 3.933, 0.000], [0.000, 0.000, 3.933]],
  "species": ["Ir", "Au", "Ir", "Ru"],
  "fractional_positions": [[0.000, 0.500, 0.500], [0.500, 0.000, 0.500], [0.000, 0.000, 0.000], [0.500, 0.500, 0.000]]
}

---

[11]
{
  "formula": "LiPS2I",
  "functional": "GGA-PBE",
  "state": "optimized geometry",
  "crystal_system": "tetragonal",
  "space_group": "No. 123",
  "energy_ev_per_fu": -14.01,
  "de_polymorph_mev_per_atom": 0.0,
  "formation_energy_uncorrected_ev_per_atom": 0.623,
  "n_ef_per_ev_cell": 2.38,
  "lattice": [[4.168, 0.000, 0.000], [0.000, 4.168, 0.000], [0.000, 0.000, 7.415]],
  "species": ["S", "P", "S", "I", "Li"],
  "fractional_positions": [[0.000, 0.500, 0.000], [0.000, 0.000, 0.500], [0.500, 0.000, 0.000], [0.500, 0.500, 0.500], [0.000, 0.000, 0.000]]
}

---

[12]
{
  "formula": "TePBr2",
  "functional": "GGA-PBE",
  "state": "optimized geometry",
  "crystal_system": "orthorhombic",
  "space_group": "No. 65",
  "energy_ev_per_fu": -8.79,
  "de_polymorph_mev_per_atom": 846.2,
  "formation_energy_uncorrected_ev_per_atom": 0.776,
  "n_ef_per_ev_cell": 3.57,
  "lattice": [[-0.394, 0.695, -5.417], [4.980, -2.061, 0.966], [-1.216, -3.081, -0.307]],
  "species": ["Te", "Br", "Br", "P"],
  "fractional_positions": [[0.000, 0.500, 0.500], [0.500, 0.500, 0.000], [0.000, 0.000, 0.000], [0.500, 0.000, 0.500]]
}

---

[13]
{
  "formula": "Sc2MnAl",
  "functional": "GGA-PBE",
  "state": "optimized geometry",
  "crystal_system": "tetragonal",
  "space_group": "No. 139",
  "energy_ev_per_fu": -26.22,
  "n_ef_per_ev_cell": 3.97,
  "ef_mev_per_atom": -162.2,
  "lattice": [[4.905, -0.035, 0.000], [0.835, 4.834, 0.000], [-2.870, -2.399, 3.173]],
  "species": ["Sc", "Al", "Sc", "Mn"],
  "fractional_positions": [[0.500, 0.500, 0.000], [0.250, 0.750, 0.500], [0.000, 0.000, 0.000], [0.750, 0.250, 0.500]]
}